Entry 1:
A relaxed Rb2DyGaTe4 crystal, computed with PBE.

Cell lengths 7.431, 7.391, 7.391 Å; angles 75.36, 59.82, 59.82 degrees
Sites, in units of the cell vectors:
Rb (0.000, 0.500, 0.500)
Rb (0.500, 0.500, 0.500)
Te (0.446, 0.665, 0.000)
Te (0.111, 0.335, 0.000)
Te (0.889, 0.000, 0.665)
Te (0.554, 0.000, 0.335)
Dy (0.000, 0.000, 0.000)
Ga (0.500, 0.000, 0.000)


Entry 2:
A relaxed RbDyGaTe3 crystal, computed with PBE.

Cell lengths 4.538, 9.872, 10.858 Å; angles 106.64, 90.00, 90.00 degrees
Sites, in units of the cell vectors:
Ga (0.750, 0.924, 0.386)
Ga (0.250, 0.076, 0.614)
Te (0.250, 0.783, 0.440)
Te (0.250, 0.125, 0.875)
Te (0.750, 0.457, 0.162)
Te (0.250, 0.543, 0.838)
Te (0.750, 0.875, 0.125)
Te (0.750, 0.217, 0.560)
Rb (0.250, 0.199, 0.243)
Rb (0.750, 0.801, 0.757)
Dy (0.250, 0.658, 0.129)
Dy (0.750, 0.342, 0.871)


Entry 3:
A relaxed Rb3Dy3GaTe8 crystal, computed with PBE.

Cell lengths 8.745, 8.746, 10.220 Å; angles 115.37, 90.00, 120.00 degrees
Sites, in units of the cell vectors:
Te (0.257, 0.033, 0.309)
Te (0.776, 0.033, 0.309)
Te (0.222, 0.444, 0.689)
Te (0.734, 0.468, 0.701)
Te (0.778, 0.556, 0.311)
Te (0.224, 0.967, 0.691)
Te (0.266, 0.532, 0.299)
Te (0.743, 0.967, 0.691)
Rb (0.000, 0.500, 0.000)
Rb (0.000, 0.000, 0.000)
Rb (0.500, 0.500, 0.000)
Dy (0.500, 0.500, 0.500)
Dy (0.000, 0.500, 0.500)
Dy (0.500, 0.000, 0.500)
Ga (0.000, 0.000, 0.500)


Number 1: theoretical density 5.000 g/cm3, formation energy without anion corrections -0.95 eV/atom. Number 2: theoretical density 4.992 g/cm3, formation energy without anion corrections -0.95 eV/atom. Number 3: theoretical density 5.178 g/cm3, formation energy without anion corrections -1.06 eV/atom.